# 1
Computed, not measured: a geometry-optimized Li2Pm3Cu7 structure at the GGA-PBE level of DFT.

The formation energy is -0.11 eV/atom. The density of states at the Fermi level is 0.554 states/eV/atom. Its final energy is -0.147 hartree per atom.

a = 5.3186 Å, b = 5.3186 Å, c = 25.1292 Å
α = 90.00°, β = 90.00°, γ = 120.00°
With the nearest neighbours (Å) after each atom.
Space group R-3m (No. 166, hexagonal axes)
One atom of each set of equivalent atoms:
1 Li 0.0000 0.0000 0.1685 x6  6 Cu 2.54-2.60
2 Pm 0.0000 0.0000 0.3623 x6  12 Cu 3.00-3.25
3 Pm 0.0000 0.0000 0.5000 x3  6 Li 3.07, 12 Cu 3.37
4 Cu 0.0000 0.0000 0.0000 x3  6 Cu 2.61
5 Cu 0.0030 0.5015 0.5821 x18  2 Li 2.54-2.60, 5 Cu 2.61-2.68

# 2
Computed, not measured: a geometry-optimized CsTlTcO4 structure at the GGA-PBE level of DFT.

The density of states at the Fermi level is 0.702 states/eV/atom. Its final energy is -0.227 hartree per atom.

a = 5.5729 Å, b = 6.3465 Å, c = 9.5201 Å
α = 90.00°, β = 100.07°, γ = 90.00°
With the nearest neighbours (Å) after each atom.
Space group P2_1/m (No. 11)
One atom of each set of equivalent atoms:
1 Cs 0.1382 0.2500 0.1282 x2  5 O 3.05-3.34
2 Tl 0.2445 0.7500 0.4995 x2  4 O 2.69-2.73
3 Tc 0.4281 0.2500 0.7799 x2  4 O 1.77-1.81
4 O 0.1111 0.2500 0.7868 x2  1 Tc 1.78
5 O 0.3927 0.7500 0.0469 x2  1 Tc 1.77
6 O 0.4938 0.5296 0.3247 x4  1 Tc 1.81

# 3
Computed, not measured: a geometry-optimized Nd7Sm2Er2 structure at the GGA-PBE level of DFT.

The formation energy is 0.10 eV/atom. The density of states at the Fermi level is 1.499 states/eV/atom. Its final energy is -0.170 hartree per atom.

a = 7.0221 Å, b = 10.6178 Å, c = 10.1706 Å
α = 90.00°, β = 92.33°, γ = 90.00°
With the nearest neighbours (Å) after each atom.
Space group C2/m (No. 12)
One atom of each set of equivalent atoms:
1 Nd 0.0000 0.0000 0.0000 x2  10 Nd 3.61-3.89, 2 Sm 3.69
2 Nd 0.1195 0.2965 0.8507 x8  7 Nd 3.40-3.71, 2 Sm 3.46-3.70, 1 Er 3.64
3 Nd 0.1877 0.0000 0.3650 x4  3 Sm 3.39-3.77, 2 Nd 3.40, 4 Er 3.47-3.51
4 Sm 0.2111 0.5000 0.2954 x4  8 Nd 3.39-3.77, 2 Er 3.56
5 Er 0.0000 0.2712 0.5000 x4  6 Nd 3.47-3.64, 2 Er 3.54, 2 Sm 3.56

# 4
Computed, not measured: a geometry-optimized BaMg2Ni structure at the GGA-PBE level of DFT.

The formation energy is 0.27 eV/atom. The density of states at the Fermi level is 0.557 states/eV/atom. Its final energy is -0.090 hartree per atom.

a = 4.3641 Å, b = 4.3641 Å, c = 5.5648 Å
α = 90.00°, β = 90.00°, γ = 90.00°
With the nearest neighbours (Å) after each atom.
Space group P4/mmm (No. 123)
One atom of each set of equivalent atoms:
1 Ba 0.0000 0.0000 0.0000 x1  4 Ni 3.09
2 Mg 0.0000 0.5000 0.5000 x2  4 Mg 3.09
3 Ni 0.5000 0.5000 0.0000 x1  4 Ba 3.09

# 5
Computed, not measured: a geometry-optimized BeAsS3 structure at the GGA-PBE level of DFT.

The density of states at the Fermi level is 0.572 states/eV/atom. Its final energy is -0.138 hartree per atom.

a = 4.3120 Å, b = 4.3120 Å, c = 4.3120 Å
α = 90.00°, β = 90.00°, γ = 90.00°
With the nearest neighbours (Å) after each atom.
Space group Pm-3m (No. 221)
One atom of each set of equivalent atoms:
1 Be 0.0000 0.0000 0.0000 x1  6 S 2.16
2 As 0.5000 0.5000 0.5000 x1  12 S 3.05
3 S 0.0000 0.0000 0.5000 x3  2 Be 2.16

# 6
Computed, not measured: a geometry-optimized Dy4Ho3Zr structure at the GGA-PBE level of DFT.

The formation energy is 0.21 eV/atom. The density of states at the Fermi level is 1.644 states/eV/atom. Its final energy is -0.179 hartree per atom.

a = 22.5765 Å, b = 3.3870 Å, c = 6.6800 Å
α = 90.00°, β = 107.19°, γ = 90.00°
With the nearest neighbours (Å) after each atom.
Space group C2/m (No. 12)
One atom of each set of equivalent atoms:
1 Dy 0.1199 0.0000 0.3550 x4  2 Ho 3.13, 5 Dy 3.39-3.50, 2 Zr 3.47
2 Dy 0.2414 0.5000 0.2406 x4  9 Dy 3.39-3.77, 3 Ho 3.48-3.49
3 Ho 0.0000 0.0000 0.5000 x2  2 Dy 3.13, 4 Ho 3.13-3.39
4 Ho 0.1198 0.0000 0.8856 x4  3 Ho 3.13-3.39, 4 Dy 3.13-3.49, 2 Zr 3.46
5 Zr 0.0000 0.5000 0.0000 x2  2 Zr 3.39, 8 Ho 3.46-3.74, 4 Dy 3.47

# 7
Computed, not measured: a geometry-optimized TbTaFe structure at the GGA-PBE level of DFT.

The formation energy is -0.03 eV/atom. The density of states at the Fermi level is 1.110 states/eV/atom. Its final energy is -0.307 hartree per atom.

a = 4.3437 Å, b = 4.3437 Å, c = 6.3757 Å
α = 90.00°, β = 90.00°, γ = 90.00°
With the nearest neighbours (Å) after each atom.
Space group P4/nmm (No. 129, origin choice 2)
One atom of each set of equivalent atoms:
1 Tb 0.2500 0.2500 0.1351 x2  1 Fe 2.82
2 Ta 0.2500 0.7500 0.5000 x2  4 Fe 2.49
3 Fe 0.2500 0.2500 0.6920 x2  4 Ta 2.49

# 8
Computed, not measured: a geometry-optimized PmTm6Se8 structure at the GGA-PBE level of DFT.

The density of states at the Fermi level is 0.378 states/eV/atom. Its final energy is -0.211 hartree per atom.

a = 11.3505 Å, b = 11.3505 Å, c = 11.3505 Å
α = 90.00°, β = 90.00°, γ = 90.00°
With the nearest neighbours (Å) after each atom.
Space group Fm-3m (No. 225)
One atom of each set of equivalent atoms:
1 Pm 0.0000 0.0000 0.0000 x4  6 Se 2.96
2 Tm 0.0000 0.2500 0.2500 x24  6 Se 2.84
3 Se 0.0000 0.0000 0.2610 x24  4 Tm 2.84, 1 Pm 2.96
4 Se 0.2500 0.2500 0.2500 x8  6 Tm 2.84

# 9
Computed, not measured: a geometry-optimized Pm3Sm3Th structure at the GGA-PBE level of DFT.

The formation energy is 0.25 eV/atom. The density of states at the Fermi level is 1.619 states/eV/atom. Its final energy is -0.179 hartree per atom.

a = 8.8698 Å, b = 8.8698 Å, c = 21.5691 Å
α = 90.00°, β = 90.00°, γ = 120.00°
With the nearest neighbours (Å) after each atom.
Space group R-3 (No. 148, hexagonal axes)
One atom of each set of equivalent atoms:
1 Pm 0.0514 0.6068 0.3839 x18  4 Sm 3.30-3.67, 2 Th 3.69-3.70
2 Sm 0.0044 0.7609 0.5566 x18  2 Sm 3.25, 3 Pm 3.30-3.49, 1 Th 3.51
3 Th 0.0000 0.0000 0.1481 x6  6 Sm 3.51-3.82, 6 Pm 3.69-3.70

# 10
Computed, not measured: a geometry-optimized Li2Ca7Cd2 structure at the GGA-PBE level of DFT.

The formation energy is -0.10 eV/atom. The density of states at the Fermi level is 1.039 states/eV/atom. Its final energy is -0.069 hartree per atom.

a = 7.9341 Å, b = 10.6880 Å, c = 8.8679 Å
α = 90.00°, β = 100.86°, γ = 90.00°
With the nearest neighbours (Å) after each atom.
Space group C2/m (No. 12)
One atom of each set of equivalent atoms:
1 Li 0.0945 0.0000 0.3633 x4  1 Li 3.08, 4 Ca 3.21-3.32
2 Ca 0.0000 0.5000 0.5000 x2  2 Li 3.22
3 Ca 0.2079 0.2034 0.6995 x8  1 Li 3.21, 2 Cd 3.25-3.41
4 Ca 0.2227 0.5000 0.9441 x4  1 Li 3.32, 4 Cd 3.33-3.41
5 Cd 0.0000 0.2365 0.0000 x4  8 Ca 3.25-3.41

# 11
Computed, not measured: a geometry-optimized SiB2C structure at the GGA-PBE level of DFT.

The density of states at the Fermi level is 0.100 states/eV/atom. Its final energy is -0.246 hartree per atom.

a = 7.8871 Å, b = 3.0554 Å, c = 3.4415 Å
α = 90.00°, β = 109.84°, γ = 90.00°
With the nearest neighbours (Å) after each atom.
Space group Cm (No. 8)
One atom of each set of equivalent atoms:
1 Si 0.0000 0.0000 0.0000 x2  2 C 1.88, 1 B 2.06
2 B 0.3397 0.5000 0.3867 x2  1 C 1.59, 2 B 1.77
3 B 0.4590 0.0000 0.4282 x2  1 C 1.60, 2 B 1.77
4 C 0.1263 0.5000 0.2642 x2  2 B 1.59-1.60

# 12
Computed, not measured: a geometry-optimized K2NpBr2Cl4 structure at the GGA-PBE level of DFT.

The density of states at the Fermi level is 0.637 states/eV/atom. Its final energy is -0.168 hartree per atom.

a = 7.4419 Å, b = 7.4419 Å, c = 11.0382 Å
α = 90.00°, β = 90.00°, γ = 90.00°
With the nearest neighbours (Å) after each atom.
Space group I4/mmm (No. 139)
One atom of each set of equivalent atoms:
1 K 0.0000 0.5000 0.2500 x4  4 Br 3.72, 8 Cl 3.81
2 Np 0.0000 0.0000 0.0000 x2  4 Cl 2.59, 2 Br 2.79
3 Br 0.0000 0.0000 0.2527 x4  1 Np 2.79
4 Cl 0.2463 0.2463 0.0000 x8  1 Np 2.59

# 13
Computed, not measured: a geometry-optimized V2TcMo structure at the GGA-PBE level of DFT.

The formation energy is 0.60 eV/atom. The density of states at the Fermi level is 1.271 states/eV/atom. Its final energy is -0.340 hartree per atom.

a = 2.7428 Å, b = 4.6470 Å, c = 9.6700 Å
α = 90.00°, β = 90.00°, γ = 90.00°
With the nearest neighbours (Å) after each atom.
Space group Immm (No. 71)
One atom of each set of equivalent atoms:
1 V 0.0000 0.0000 0.2410 x4  1 Tc 2.33, 1 Mo 2.50
2 Tc 0.0000 0.0000 0.0000 x2  2 V 2.33
3 Mo 0.0000 0.0000 0.5000 x2  2 V 2.50, 4 Tc 2.70, 2 Mo 2.74

# 14
Computed, not measured: a geometry-optimized LiAs2Pd2 structure at the GGA-PBE level of DFT.

The formation energy is -0.36 eV/atom. The density of states at the Fermi level is 0.359 states/eV/atom. Its final energy is -0.172 hartree per atom.

a = 7.3986 Å, b = 7.3986 Å, c = 3.1143 Å
α = 90.00°, β = 90.00°, γ = 90.00°
With the nearest neighbours (Å) after each atom.
Space group P4/mbm (No. 127)
One atom of each set of equivalent atoms:
1 Li 0.0000 0.0000 0.0000 x2  4 Pd 2.86, 2 Li 3.11, 8 As 3.18
2 As 0.1613 0.3387 0.5000 x4  6 Pd 2.61-2.72
3 Pd 0.1389 0.6389 0.0000 x4  6 As 2.61-2.72, 2 Li 2.86, 1 Pd 2.91

# 15
Computed, not measured: a geometry-optimized NdDy2Ho6 structure at the GGA-PBE level of DFT.

The formation energy is 0.07 eV/atom. The density of states at the Fermi level is 1.599 states/eV/atom. Its final energy is -0.167 hartree per atom.

a = 5.6071 Å, b = 29.0863 Å, c = 3.4687 Å
α = 90.00°, β = 90.00°, γ = 90.00°
With the nearest neighbours (Å) after each atom.
Space group Cmmm (No. 65)
One atom of each set of equivalent atoms:
1 Nd 0.0000 0.0000 0.0000 x2  2 Nd 3.47, 12 Ho 3.68-3.70
2 Dy 0.0000 0.3329 0.0000 x4  2 Dy 3.47, 12 Ho 3.64-3.67
3 Ho 0.0000 0.1125 0.5000 x4  5 Ho 3.21-3.47
4 Ho 0.0000 0.2229 0.5000 x4  5 Ho 3.21-3.47
5 Ho 0.0000 0.4435 0.5000 x4  5 Ho 3.24-3.47

# 16
Computed, not measured: a geometry-optimized LiCe2Pd8 structure at the GGA-PBE level of DFT.

The formation energy is -0.54 eV/atom. The density of states at the Fermi level is 0.798 states/eV/atom. Its final energy is -0.205 hartree per atom.

a = 15.0263 Å, b = 4.6520 Å, c = 5.9960 Å
α = 90.00°, β = 113.44°, γ = 90.00°
With the nearest neighbours (Å) after each atom.
Space group C2/m (No. 12)
One atom of each set of equivalent atoms:
1 Li 0.0000 0.0000 0.0000 x2  4 Pd 2.39
2 Ce 0.1843 0.5000 0.6842 x4  12 Pd 2.83-3.01
3 Pd 0.9998 0.5000 0.2518 x4  2 Li 2.77, 8 Pd 2.87-3.02, 2 Ce 2.94-2.95
4 Pd 0.1309 0.0000 0.3909 x4  1 Li 2.39
5 Pd 0.1313 0.0000 0.8716 x4  1 Li 2.39
6 Pd 0.1770 0.5000 0.1772 x4  8 Pd 2.87-3.02, 4 Ce 3.00-3.01

# 17
Computed, not measured: a geometry-optimized ErBN structure at the GGA-PBE level of DFT.

The density of states at the Fermi level is 0.173 states/eV/atom. Its final energy is -0.281 hartree per atom.

a = 4.8944 Å, b = 4.9548 Å, c = 6.1983 Å
α = 90.00°, β = 101.16°, γ = 90.00°
With the nearest neighbours (Å) after each atom.
Space group C2/m (No. 12)
One atom of each set of equivalent atoms:
1 Er 0.1968 0.0000 0.2880 x4  5 N 2.33-2.49
2 B 0.1376 0.5000 0.0948 x4  1 N 1.43
3 N 0.2104 0.5000 0.3296 x4  1 B 1.43

# 18
Computed, not measured: a geometry-optimized Sr3Si structure at the GGA-PBE level of DFT.

The density of states at the Fermi level is 0.588 states/eV/atom. Its final energy is -0.103 hartree per atom.

a = 10.3624 Å, b = 13.9303 Å, c = 4.6127 Å
α = 90.00°, β = 90.00°, γ = 90.00°
With the nearest neighbours (Å) after each atom.
Space group Cmcm (No. 63)
One atom of each set of equivalent atoms:
1 Sr 0.0000 0.1221 0.2500 x4  2 Si 3.18
2 Sr 0.1824 0.3673 0.2500 x8  2 Si 3.22
3 Si 0.0000 0.2798 0.7500 x4  6 Sr 3.18-3.22

# 19
Computed, not measured: a geometry-optimized Hf2Ti2Te7 structure at the GGA-PBE level of DFT.

The density of states at the Fermi level is 0.516 states/eV/atom. Its final energy is -0.212 hartree per atom.

a = 8.0641 Å, b = 12.7023 Å, c = 7.2788 Å
α = 90.00°, β = 97.04°, γ = 90.00°
With the nearest neighbours (Å) after each atom.
Space group C2/m (No. 12)
One atom of each set of equivalent atoms:
1 Hf 0.0000 0.1866 0.0000 x4  6 Te 2.87-2.95
2 Ti 0.2068 0.0000 0.6110 x4  5 Te 2.59-2.85
3 Te 0.0000 0.5000 0.5000 x2  2 Ti 2.59
4 Te 0.0983 0.0000 0.2295 x4  2 Ti 2.81-2.85, 2 Hf 2.95
5 Te 0.2438 0.2997 0.2433 x8  1 Ti 2.77, 2 Hf 2.87-2.89

# 20
Computed, not measured: a geometry-optimized Sn2TeRuO structure at the GGA-PBE level of DFT.

The density of states at the Fermi level is 0.613 states/eV/atom. Its final energy is -0.197 hartree per atom.

a = 5.6976 Å, b = 5.6976 Å, c = 3.7755 Å
α = 90.00°, β = 90.00°, γ = 90.00°
With the nearest neighbours (Å) after each atom.
Space group P4/mmm (No. 123)
One atom of each set of equivalent atoms:
1 Sn 0.0000 0.5000 0.0000 x2  2 Ru 2.85
2 Te 0.0000 0.0000 0.5000 x1  8 Sn 3.42, 2 Te 3.78
3 Ru 0.5000 0.5000 0.0000 x1  2 O 1.89
4 O 0.5000 0.5000 0.5000 x1  2 Ru 1.89